1.
TaCu2Rh | PBE | relaxed

Unit cell a=3.755 b=3.843 c=7.747 alpha=90.00 beta=90.00 gamma=90.00
Space group Imm2 (No. 44)
Symmetry-distinct sites (fractional):
Ta  0.000  0.000  0.000
Cu  0.000  0.000  0.498
Cu  0.000  0.500  0.752
Rh  0.000  0.500  0.249

Properties
- ΔE_f: -0.1858 eV per atom
- N(E_F): 0.422 states/eV/atom


2.
Li6Cd12Ir | PBE | relaxed

Unit cell a=10.1711 b=10.1711 c=12.4149 alpha=90.00 beta=90.00 gamma=120.00
Space group R-3 (No. 148, hexagonal axes)
Symmetry-distinct sites (fractional):
Li  0.0398  0.5980  0.2046
Cd  0.0278  0.8432  0.3209
Cd  0.0592  0.2111  0.9088
Ir  0.0000  0.0000  0.5000

Properties
- ΔE_f: -0.1748 eV per atom
- N(E_F): 0.407 states/eV/atom


3.
Pu2CuH12Rh3 | PBE | relaxed

Unit cell a=6.2178 b=6.2178 c=14.1286 alpha=90.00 beta=90.00 gamma=120.00
Space group R-3m (No. 166, hexagonal axes)
Symmetry-distinct sites (fractional):
Pu  0.0000  0.0000  0.1204
Cu  0.0000  0.0000  0.5000
H  0.0259  0.5129  0.1190
H  0.0266  0.5133  0.3499
Rh  0.0000  0.5000  0.0000

Properties
- Calculated total energy: -5.450 eV/atom
- N(E_F): 1.211 states/eV/atom


4.
NaHoMg14 | PBE | relaxed

Unit cell a=6.611 b=6.611 c=8.869 alpha=90.00 beta=90.00 gamma=90.00
Space group P4/mmm (No. 123)
Symmetry-distinct sites (fractional):
Na  0.000  0.000  0.000
Ho  0.500  0.500  0.000
Mg  0.000  0.000  0.500
Mg  0.000  0.500  0.000
Mg  0.000  0.500  0.500
Mg  0.251  0.251  0.260
Mg  0.500  0.500  0.500

Properties
- ΔE_f: 0.0127 eV per atom
- N(E_F): 0.510 states/eV/atom


5.
Ba5LiAg2 | PBE | relaxed

Unit cell a=9.140 b=9.140 c=17.126 alpha=90.00 beta=90.00 gamma=90.00
Space group I4/mcm (No. 140)
Symmetry-distinct sites (fractional):
Ba  0.000  0.000  0.000
Ba  0.166  0.334  0.138
Li  0.000  0.000  0.250
Ag  0.122  0.378  0.500

Properties
- ΔE_f: -0.1389 eV per atom
- N(E_F): 0.894 states/eV/atom


6.
YEr2Te | PBE | relaxed

Unit cell a=3.846 b=3.846 c=7.841 alpha=90.00 beta=90.00 gamma=90.00
Space group P4/mmm (No. 123)
Symmetry-distinct sites (fractional):
Y  0.000  0.000  0.000
Er  0.500  0.500  0.275
Te  0.000  0.000  0.500

Properties
- Formation energy from raw total energies: -0.5380 eV/atom
- ΔE to the lowest computed polymorph: 109 meV/atom
- N(E_F): 1.232 states/eV/atom


7.
Ca8SiN2 | PBE | relaxed

Unit cell a=14.470 b=7.869 c=6.696 alpha=90.00 beta=97.29 gamma=90.00
Space group C2/m (No. 12)
Symmetry-distinct sites (fractional):
Ca  0.103  0.215  0.241
Ca  0.172  0.000  0.784
Ca  0.173  0.500  0.741
Si  0.000  0.000  0.500
N  0.182  0.000  0.119

Properties
- Formation energy from raw total energies: -0.3522 eV/atom
- N(E_F): 0.489 states/eV/atom


8.
NdTaCuO5 | PBE | relaxed

Unit cell a=6.435 b=9.462 c=7.565 alpha=90.00 beta=111.43 gamma=90.00
Space group C2/c (No. 15)
Symmetry-distinct sites (fractional):
Nd  0.000  0.176  0.250
Ta  0.000  0.500  0.000
Cu  0.000  0.172  0.750
O  0.000  0.434  0.250
O  0.076  0.297  0.579
O  0.175  0.029  0.924

Properties
- Formation energy from raw total energies: -2.4146 eV/atom
- N(E_F): 0.121 states/eV/atom